# Tm3ScTl3 | Alexandria via LeMat-Bulk | PBE-GGA | optimized geometry
# DFT formation energy: -95 meV per atom
# ρ: 10.077 Mg/m³
data_Tm3ScTl3
_chemical_formula_sum 'Tm6 Sc2 Tl6'
_cell_length_a 8.9262
_cell_length_b 8.9262
_cell_length_c 5.5639
_cell_angle_alpha 90.00
_cell_angle_beta 90.00
_cell_angle_gamma 120.00
_symmetry_space_group_name_H-M 'P 63/m'
_symmetry_Int_Tables_number 176
_symmetry_space_group_name_Hall '-P 6c'
loop_
_atom_site_label
_atom_site_fract_x
_atom_site_fract_y
_atom_site_fract_z
Tm1 0.0986 0.4605 0.2500
Sc1 0.3333 0.6667 0.7500
Tl1 0.0540 0.2526 0.7500